First-principles (PBE+U) data for a geometry-optimized K2RbTmV2O8 structure, as listed in Alexandria.

## Properties
total magnetic moment: 0.00 μB per formula unit
E: -6.79 eV/atom

Structure (POSCAR):
```
K2RbTmV2O8
1.0
5.9834 0.0000 0.0000
-2.9917 5.1818 0.0000
0.0000 0.0000 7.7647
K Rb Tm V O
2 1 1 2 8
Direct
0.3333 0.6667 0.1962
0.6667 0.3333 0.8038
0.0000 0.0000 0.5000
0.0000 0.0000 0.0000
0.3333 0.6667 0.7520
0.6667 0.3333 0.2480
0.1735 0.3470 0.8309
0.1735 0.8265 0.8309
0.3333 0.6667 0.5352
0.3470 0.1735 0.1691
0.6530 0.8265 0.8309
0.6667 0.3333 0.4648
0.8265 0.1735 0.1691
0.8265 0.6530 0.1691
```

First-principles (PBE+U) data for a geometry-optimized Zn2NiBO4 structure, as listed in Alexandria.

## Properties
total magnetic moment: 1.00 μB per formula unit
E: -5.43 eV/atom

Structure (POSCAR):
```
Zn2NiBO4
1.0
0.0000 3.2111 3.9412
3.2042 0.0000 3.9412
3.2042 3.2111 0.0000
Zn Ni B O
2 1 1 4
Direct
0.0000 0.0000 0.5000
0.5000 0.5000 0.0000
0.2479 0.2479 0.7521
0.7503 0.7503 0.2497
0.0497 0.6635 0.9503
0.4516 0.8368 0.1632
0.6635 0.0497 0.3365
0.8368 0.4516 0.5484
```